The following is a DFT calculation (GGA-PBE) of YLuSc after structural relaxation.

Output
Formation energy from the elements ... 0.70 eV per atom
Electronic total energy ... -5.068 eV/atom
Magnetization ... 0.01 Bohr magnetons per cell

abc: 7.3521 7.3521 7.3521
angles: 90.00 90.00 90.00
Space group F-43m (No. 216)
One atom of each set of equivalent atoms:
Y (0.0000, 0.0000, 0.0000) x4
Lu (0.0000, 0.0000, 0.5000) x4
Sc (0.2500, 0.2500, 0.7500) x4